# HoTlSbSe3 PBE relaxed
data_HoTlSbSe3
_cell_length_a 7.7169
_cell_length_b 7.7169
_cell_length_c 11.7587
_cell_angle_alpha 90.00
_cell_angle_beta 90.00
_cell_angle_gamma 150.15
_space_group_name_H-M_alt 'P 1'
_space_group_IT_number 1
loop_
_space_group_symop_operation_xyz
'x,y,z'
loop_
_atom_site_label
_atom_site_type_symbol
_atom_site_fract_x
_atom_site_fract_y
_atom_site_fract_z
_atom_site_occupancy
Sb1 Sb 0.8731 0.1269 0.2500 1
Sb2 Sb 0.1269 0.8731 0.7500 1
Tl1 Tl 0.8107 0.1893 0.7500 1
Tl2 Tl 0.1893 0.8107 0.2500 1
Se1 Se 0.1340 0.8660 0.5118 1
Se2 Se 0.4823 0.5177 0.7500 1
Se3 Se 0.1340 0.8660 0.9882 1
Se4 Se 0.8660 0.1340 0.4882 1
Se5 Se 0.5177 0.4823 0.2500 1
Se6 Se 0.8660 0.1340 0.0118 1
Ho1 Ho 0.5000 0.5000 0.0000 1
Ho2 Ho 0.5000 0.5000 0.5000 1
# Space group ... Cmcm, No. 63
# VASP energy ... -4.41 eV/atom



# HoSiSb PBE relaxed
data_HoSiSb
_cell_length_a 4.8168
_cell_length_b 4.8168
_cell_length_c 4.8168
_cell_angle_alpha 60.00
_cell_angle_beta 60.00
_cell_angle_gamma 60.00
_space_group_name_H-M_alt 'P 1'
_space_group_IT_number 1
loop_
_space_group_symop_operation_xyz
'x,y,z'
loop_
_atom_site_label
_atom_site_type_symbol
_atom_site_fract_x
_atom_site_fract_y
_atom_site_fract_z
_atom_site_occupancy
Ho1 Ho 0.2500 0.2500 0.2500 1
Si1 Si 0.0000 0.0000 0.0000 1
Sb1 Sb 0.7500 0.7500 0.7500 1
# Space group ... F-43m, No. 216
# Energy above the most stable polymorph in this dataset ... 0.000 eV/atom



# SmHoSb2 PBE relaxed
data_SmHoSb2
_cell_length_a 4.4156
_cell_length_b 4.4156
_cell_length_c 6.2451
_cell_angle_alpha 90.00
_cell_angle_beta 90.00
_cell_angle_gamma 90.00
_space_group_name_H-M_alt 'P 1'
_space_group_IT_number 1
loop_
_space_group_symop_operation_xyz
'x,y,z'
loop_
_atom_site_label
_atom_site_type_symbol
_atom_site_fract_x
_atom_site_fract_y
_atom_site_fract_z
_atom_site_occupancy
Sb1 Sb 0.5000 0.5000 0.0000 1
Sb2 Sb 0.0000 0.0000 0.5000 1
Ho1 Ho 0.0000 0.0000 0.0000 1
Sm1 Sm 0.5000 0.5000 0.5000 1
# Space group ... P4/mmm, No. 123
# VASP energy ... -5.52 eV/atom